Density functional theory data (GGA-PBE) for a relaxed Tb7Y2Ho2 crystal.

a = 6.036 Å, b = 8.022 Å, c = 8.022 Å
α = 90.43°, β = 73.93°, γ = 73.93°
Atoms (fractional coordinates):
Tb 0.175 0.057 0.590
Tb 0.825 0.410 0.943
Tb 0.825 0.943 0.410
Tb 0.175 0.590 0.057
Tb 0.000 0.000 0.000
Tb 0.588 0.766 0.766
Tb 0.412 0.234 0.234
Y 0.500 0.216 0.784
Y 0.500 0.784 0.216
Ho 0.802 0.415 0.415
Ho 0.198 0.585 0.585

Results
- SG = C2/m
- energy relative to the elements (kJ/mol of atoms) = 15